(1)
DFT (PBE-GGA) results for a relaxed structure of Pr2ErSb.

Lattice parameters (Å, degrees): 4.882 4.882 4.943 90.00 90.00 90.00
Fractional coordinates of all 4 atoms:
Pr 0.000 0.500 0.000
Pr 0.500 0.000 0.000
Er 0.000 0.000 0.500
Sb 0.500 0.500 0.500

**Density of states at the Fermi level**: 3.537 states/eV/f.u.
**E_form (uncorrected)**: -0.510 eV/atom


(2)
DFT (PBE-GGA) results for a relaxed structure of Y2CrP.

Lattice parameters (Å, degrees): 12.117 3.863 9.192 90.00 119.56 90.00
Fractional coordinates of all 16 atoms:
Y 0.000 0.000 0.000
Y 0.013 0.000 0.603
Y 0.163 0.500 0.399
Y 0.296 0.000 0.074
Y 0.500 0.500 0.000
Y 0.513 0.500 0.603
Y 0.663 0.000 0.399
Y 0.796 0.500 0.074
Cr 0.240 0.500 0.754
Cr 0.339 0.000 0.724
Cr 0.740 0.000 0.754
Cr 0.839 0.500 0.724
P 0.094 0.500 0.862
P 0.473 0.500 0.278
P 0.594 0.000 0.862
P 0.973 0.000 0.278

**Density of states at the Fermi level**: 3.048 states/eV/f.u.
**Final energy**: -7.539 eV per atom


(3)
DFT (PBE-GGA) results for a relaxed structure of Sr3PrPa3N8.

Lattice parameters (Å, degrees): 7.330 7.330 7.330 59.19 59.19 59.19
Fractional coordinates of all 15 atoms:
Sr 0.000 0.500 0.500
Sr 0.500 0.000 0.500
Sr 0.500 0.500 0.000
Pr 0.500 0.500 0.500
Pa 0.000 0.000 0.500
Pa 0.000 0.500 0.000
Pa 0.500 0.000 0.000
N 0.208 0.737 0.737
N 0.237 0.237 0.237
N 0.263 0.263 0.792
N 0.263 0.792 0.263
N 0.737 0.208 0.737
N 0.737 0.737 0.208
N 0.763 0.763 0.763
N 0.792 0.263 0.263

**Density of states at the Fermi level**: 1.659 states/eV/f.u.
**E_form (uncorrected)**: -1.257 eV/atom


(4)
DFT (PBE-GGA) results for a relaxed structure of Dy2Y2HoTm.

Lattice parameters (Å, degrees): 6.511 17.656 3.367 90.00 90.00 90.00
Fractional coordinates of all 12 atoms:
Dy 0.230 0.146 0.000
Dy 0.270 0.646 0.500
Dy 0.730 0.354 0.500
Dy 0.770 0.854 0.000
Y 0.232 0.316 0.500
Y 0.268 0.816 0.000
Y 0.732 0.184 0.000
Y 0.768 0.684 0.500
Ho 0.000 0.000 0.500
Ho 0.500 0.500 0.000
Tm 0.000 0.500 0.500
Tm 0.500 0.000 0.000

**Density of states at the Fermi level**: 8.948 states/eV/f.u.
**Final energy**: -4.928 eV per atom


(5)
DFT (PBE-GGA) results for a relaxed structure of Ac6Tl5Sb.

Lattice parameters (Å, degrees): 9.028 9.028 8.683 90.04 90.04 143.52
Fractional coordinates of all 12 atoms:
Ac 0.001 0.001 0.258
Ac 0.337 0.662 0.751
Ac 0.338 0.663 0.249
Ac 0.662 0.337 0.751
Ac 0.663 0.338 0.249
Ac 0.999 0.999 0.742
Tl 0.166 0.834 0.000
Tl 0.177 0.823 0.500
Tl 0.500 0.500 0.000
Tl 0.823 0.177 0.500
Tl 0.834 0.166 0.000
Sb 0.500 0.500 0.500

**Density of states at the Fermi level**: 9.978 states/eV/f.u.
**E_form (uncorrected)**: -0.452 eV/atom


(6)
DFT (PBE-GGA) results for a relaxed structure of SrLaAs.

Lattice parameters (Å, degrees): 7.318 7.318 7.318 90.00 90.00 90.00
Fractional coordinates of all 12 atoms:
Sr 0.000 0.000 0.000
Sr 0.000 0.500 0.500
Sr 0.500 0.000 0.500
Sr 0.500 0.500 0.000
La 0.000 0.000 0.500
La 0.000 0.500 0.000
La 0.500 0.000 0.000
La 0.500 0.500 0.500
As 0.250 0.250 0.750
As 0.250 0.750 0.250
As 0.750 0.250 0.250
As 0.750 0.750 0.750

**Density of states at the Fermi level**: 3.596 states/eV/f.u.
**Final energy**: -4.540 eV per atom


(7)
DFT (PBE-GGA) results for a relaxed structure of Dy2Tm3Hg2.

Lattice parameters (Å, degrees): 9.188 5.299 8.430 90.00 111.21 90.00
Fractional coordinates of all 14 atoms:
Dy 0.075 0.000 0.226
Dy 0.425 0.500 0.774
Dy 0.575 0.500 0.226
Dy 0.925 0.000 0.774
Tm 0.000 0.500 0.500
Tm 0.157 0.500 0.971
Tm 0.343 0.000 0.029
Tm 0.500 0.000 0.500
Tm 0.657 0.000 0.971
Tm 0.843 0.500 0.029
Hg 0.214 0.000 0.642
Hg 0.286 0.500 0.358
Hg 0.714 0.500 0.642
Hg 0.786 0.000 0.358

**Density of states at the Fermi level**: 7.888 states/eV/f.u.
**Final energy**: -3.553 eV per atom


(8)
DFT (PBE-GGA) results for a relaxed structure of Hg2GeBr6.

Lattice parameters (Å, degrees): 9.501 9.501 7.423 100.72 100.72 84.18
Fractional coordinates of all 18 atoms:
Hg 0.113 0.284 0.383
Hg 0.284 0.113 0.883
Hg 0.716 0.887 0.117
Hg 0.887 0.716 0.617
Ge 0.383 0.617 0.750
Ge 0.617 0.383 0.250
Br 0.036 0.204 0.666
Br 0.137 0.632 0.850
Br 0.204 0.036 0.166
Br 0.285 0.481 0.372
Br 0.368 0.863 0.650
Br 0.481 0.285 0.872
Br 0.519 0.715 0.128
Br 0.632 0.137 0.350
Br 0.715 0.519 0.628
Br 0.796 0.964 0.834
Br 0.863 0.368 0.150
Br 0.964 0.796 0.334

**Density of states at the Fermi level**: 0.000 states/eV/f.u.
**E_form (uncorrected)**: -0.459 eV/atom


(9)
DFT (PBE-GGA) results for a relaxed structure of Er4TlNi.

Lattice parameters (Å, degrees): 9.528 9.528 9.528 60.00 60.00 60.00
Fractional coordinates of all 24 atoms:
Er 0.044 0.652 0.652
Er 0.061 0.061 0.439
Er 0.061 0.439 0.061
Er 0.061 0.439 0.439
Er 0.187 0.187 0.813
Er 0.187 0.813 0.187
Er 0.187 0.813 0.813
Er 0.439 0.061 0.061
Er 0.439 0.061 0.439
Er 0.439 0.439 0.061
Er 0.652 0.044 0.652
Er 0.652 0.652 0.044
Er 0.652 0.652 0.652
Er 0.813 0.187 0.187
Er 0.813 0.187 0.813
Er 0.813 0.813 0.187
Tl 0.414 0.414 0.414
Tl 0.414 0.414 0.757
Tl 0.414 0.757 0.414
Tl 0.757 0.414 0.414
Ni 0.428 0.857 0.857
Ni 0.857 0.428 0.857
Ni 0.857 0.857 0.428
Ni 0.857 0.857 0.857

**Density of states at the Fermi level**: 4.898 states/eV/f.u.
**Final energy**: -4.724 eV per atom


(10)
DFT (PBE-GGA) results for a relaxed structure of DyHoGePt.

Lattice parameters (Å, degrees): 4.264 3.912 10.838 90.00 90.00 90.00
Fractional coordinates of all 8 atoms:
Dy 0.000 0.000 0.000
Dy 0.000 0.500 0.500
Ho 0.500 0.000 0.279
Ho 0.500 0.500 0.779
Ge 0.000 0.000 0.721
Ge 0.000 0.500 0.221
Pt 0.500 0.000 0.555
Pt 0.500 0.500 0.055

**Density of states at the Fermi level**: 1.527 states/eV/f.u.
**Final energy**: -6.042 eV per atom


(11)
DFT (PBE-GGA) results for a relaxed structure of Ca3LaRh2.

Lattice parameters (Å, degrees): 8.886 8.886 9.720 112.59 112.59 27.42
Fractional coordinates of all 12 atoms:
Ca 0.035 0.035 0.190
Ca 0.321 0.321 0.608
Ca 0.337 0.337 0.998
Ca 0.663 0.663 0.002
Ca 0.679 0.679 0.392
Ca 0.965 0.965 0.810
La 0.119 0.119 0.646
La 0.881 0.881 0.354
Rh 0.241 0.241 0.249
Rh 0.494 0.494 0.353
Rh 0.506 0.506 0.647
Rh 0.759 0.759 0.751

**Density of states at the Fermi level**: 3.773 states/eV/f.u.
**Final energy**: -4.674 eV per atom


(12)
DFT (PBE-GGA) results for a relaxed structure of IrPtCl2.

Lattice parameters (Å, degrees): 3.115 4.196 5.082 90.00 93.56 90.00
Fractional coordinates of all 4 atoms:
Ir 0.000 0.000 0.000
Pt 0.500 0.000 0.500
Cl 0.228 0.500 0.243
Cl 0.772 0.500 0.757

**Density of states at the Fermi level**: 4.033 states/eV/f.u.
**E_form (uncorrected)**: 0.669 eV/atom


(13)
DFT (PBE-GGA) results for a relaxed structure of SrSmSnPd.

Lattice parameters (Å, degrees): 7.597 7.597 7.597 90.00 90.00 90.00
Fractional coordinates of all 16 atoms:
Sr 0.000 0.000 0.000
Sr 0.000 0.500 0.500
Sr 0.500 0.000 0.500
Sr 0.500 0.500 0.000
Sm 0.000 0.000 0.500
Sm 0.000 0.500 0.000
Sm 0.500 0.000 0.000
Sm 0.500 0.500 0.500
Sn 0.250 0.250 0.250
Sn 0.250 0.750 0.750
Sn 0.750 0.250 0.750
Sn 0.750 0.750 0.250
Pd 0.250 0.250 0.750
Pd 0.250 0.750 0.250
Pd 0.750 0.250 0.250
Pd 0.750 0.750 0.750

**Density of states at the Fermi level**: 2.825 states/eV/f.u.
**Final energy**: -4.497 eV per atom


(14)
DFT (PBE-GGA) results for a relaxed structure of Ba2YAlTe5.

Lattice parameters (Å, degrees): 10.510 10.510 14.335 90.00 90.00 155.25
Fractional coordinates of all 18 atoms:
Ba 0.122 0.878 0.500
Ba 0.124 0.876 0.139
Ba 0.876 0.124 0.639
Ba 0.878 0.122 0.000
Y 0.205 0.795 0.840
Y 0.795 0.205 0.340
Al 0.437 0.563 0.241
Al 0.563 0.437 0.741
Te 0.047 0.953 0.847
Te 0.296 0.704 0.484
Te 0.312 0.688 0.186
Te 0.351 0.649 0.821
Te 0.499 0.501 0.084
Te 0.501 0.499 0.584
Te 0.649 0.351 0.321
Te 0.688 0.312 0.686
Te 0.704 0.296 0.984
Te 0.953 0.047 0.347

**E_form (uncorrected)**: -1.345 eV/atom


(15)
DFT (PBE-GGA) results for a relaxed structure of Li2PbAu2.

Lattice parameters (Å, degrees): 7.650 7.650 3.247 90.00 90.00 90.00
Fractional coordinates of all 10 atoms:
Li 0.159 0.341 0.000
Li 0.341 0.841 0.000
Li 0.659 0.159 0.000
Li 0.841 0.659 0.000
Pb 0.000 0.000 0.500
Pb 0.500 0.500 0.500
Au 0.134 0.634 0.500
Au 0.366 0.134 0.500
Au 0.634 0.866 0.500
Au 0.866 0.366 0.500

**Density of states at the Fermi level**: 0.879 states/eV/f.u.
**Final energy**: -3.222 eV per atom


(16)
DFT (PBE-GGA) results for a relaxed structure of Dy4IrSeS2.

Lattice parameters (Å, degrees): 7.003 3.947 7.024 90.00 108.76 90.00
Fractional coordinates of all 8 atoms:
Dy 0.242 0.000 0.234
Dy 0.254 0.500 0.766
Dy 0.746 0.500 0.234
Dy 0.758 0.000 0.766
Ir 0.000 0.500 0.000
Se 0.000 0.000 0.500
S 0.500 0.000 0.000
S 0.500 0.500 0.500

**Density of states at the Fermi level**: 5.593 states/eV/f.u.
**E_form (uncorrected)**: -1.603 eV/atom


(17)
DFT (PBE-GGA) results for a relaxed structure of La2AlCr.

Lattice parameters (Å, degrees): 5.274 5.274 3.888 90.00 90.00 90.00
Fractional coordinates of all 4 atoms:
La 0.000 0.500 0.000
La 0.500 0.000 0.000
Al 0.000 0.000 0.500
Cr 0.500 0.500 0.500

**Density of states at the Fermi level**: 3.914 states/eV/f.u.
**Final energy**: -5.739 eV per atom


(18)
DFT (PBE-GGA) results for a relaxed structure of KReAu4.

Lattice parameters (Å, degrees): 5.614 5.614 5.614 60.00 60.00 60.00
Fractional coordinates of all 6 atoms:
K 0.000 0.000 0.000
Re 0.750 0.750 0.750
Au 0.375 0.375 0.375
Au 0.375 0.375 0.874
Au 0.375 0.874 0.375
Au 0.874 0.375 0.375

**Density of states at the Fermi level**: 3.367 states/eV/f.u.
**Final energy**: -3.784 eV per atom


(19)
DFT (PBE-GGA) results for a relaxed structure of Ba2Pt.

Lattice parameters (Å, degrees): 5.524 5.524 3.593 90.00 90.00 120.00
Fractional coordinates of all 3 atoms:
Ba 0.333 0.667 0.000
Ba 0.667 0.333 0.000
Pt 0.000 0.000 0.500

**Density of states at the Fermi level**: 3.455 states/eV/f.u.
**Final energy**: -3.220 eV per atom


(20)
DFT (PBE-GGA) results for a relaxed structure of Tb2BRu.

Lattice parameters (Å, degrees): 8.352 5.938 6.959 90.00 110.77 90.00
Fractional coordinates of all 16 atoms:
Tb 0.189 0.229 0.064
Tb 0.189 0.271 0.564
Tb 0.244 0.741 0.858
Tb 0.244 0.759 0.358
Tb 0.756 0.241 0.642
Tb 0.756 0.259 0.142
Tb 0.811 0.729 0.436
Tb 0.811 0.771 0.936
B 0.439 0.127 0.442
B 0.439 0.373 0.942
B 0.561 0.627 0.058
B 0.561 0.873 0.558
Ru 0.483 0.056 0.781
Ru 0.483 0.444 0.281
Ru 0.517 0.556 0.719
Ru 0.517 0.944 0.219

**Density of states at the Fermi level**: 3.112 states/eV/f.u.
**Final energy**: -6.582 eV per atom


So what do the calculations give for ρ? Going down the list: 8.05 4.63 7.34 7.18 9.89 5.11 10.70 4.91 10.12 10.93 4.76 11.48 7.01 5.15 10.75 8.90 5.48 13.45 8.22 8.84 g/cm3.
So what do the calculations give for magnetization? Going down the list: 0.0 1.0 0.0 0.0 0.0 0.0 0.0 0.0 0.0 0.0 0.0 0.0 0.0 0.0 0.0 0.0 3.4 4.1 0.0 0.0 Bohr magnetons per cell.